Entry 1:
Density functional theory data (PBE-GGA) for a geometry-optimized ZrAl2Si2 structure.

a = 7.0948 Å, b = 7.0948 Å, c = 3.3937 Å
α = 90.00°, β = 90.00°, γ = 90.00°
Closest atoms and distances in Å follow each position.
Fractional coordinates of all 10 atoms:
Si: 0.8300 0.6700 0.5000  6 Al 2.65-2.72
Zr: 0.5000 0.5000 0.0000  4 Al 2.79
Si: 0.6700 0.1700 0.5000  6 Al 2.65-2.72
Si: 0.1700 0.3300 0.5000  6 Al 2.65-2.72
Zr: 0.0000 0.0000 0.0000  4 Al 2.79
Al: 0.1272 0.6272 0.0000  1 Al 2.55, 6 Si 2.65-2.72, 2 Zr 2.79
Si: 0.3300 0.8300 0.5000  6 Al 2.65-2.72
Al: 0.6272 0.8728 0.0000  1 Al 2.55, 6 Si 2.65-2.72, 2 Zr 2.79
Al: 0.8728 0.3728 0.0000  1 Al 2.55, 6 Si 2.65-2.72, 2 Zr 2.79
Al: 0.3728 0.1272 0.0000  1 Al 2.55, 6 Si 2.65-2.72, 2 Zr 2.79

Results
For the raw formation energy, the calculation gives 0.003 eV/atom. For the total energy, the calculation gives -53.73 eV for the cell shown.

---

Entry 2:
Density functional theory data (PBE-GGA) for a geometry-optimized Tl2ZnMo structure.

a = 3.0047 Å, b = 3.0047 Å, c = 9.3900 Å
α = 90.00°, β = 90.00°, γ = 90.00°
Closest atoms and distances in Å follow each position.
Fractional coordinates of all 4 atoms:
Zn: 0.5000 0.5000 0.2500  4 Zn 3.00, 8 Tl 3.23
Tl: 0.0000 0.0000 0.9908  4 Tl 3.00, 4 Mo 3.10, 4 Zn 3.23
Mo: 0.5000 0.5000 0.7500  4 Mo 3.00, 8 Tl 3.10
Tl: 0.0000 0.0000 0.5092  4 Tl 3.00, 4 Mo 3.10, 4 Zn 3.23

Results
The energy above the most stable polymorph in this dataset is 0.216 eV/atom. For the total energy, the calculation gives -14.08 eV for the cell shown.

---

Entry 3:
Density functional theory data (PBE-GGA) for a geometry-optimized Tm2MnSn structure.

a = 4.1740 Å, b = 4.7272 Å, c = 4.7272 Å
α = 90.00°, β = 90.00°, γ = 90.00°
Closest atoms and distances in Å follow each position.
Fractional coordinates of all 4 atoms:
Tm: 0.0000 0.0000 0.5000  4 Mn 3.15, 4 Sn 3.15, 4 Tm 3.34
Sn: 0.5000 0.5000 0.5000  8 Tm 3.15, 4 Mn 3.34
Mn: 0.5000 0.0000 0.0000  8 Tm 3.15, 4 Sn 3.34
Tm: 0.0000 0.5000 0.0000  4 Mn 3.15, 4 Sn 3.15, 4 Tm 3.34

Results
The energy above the most stable polymorph in this dataset is 0.005 eV/atom. For the total energy, the calculation gives -23.05 eV for the cell shown.

---

Entry 4:
Density functional theory data (PBE-GGA) for a geometry-optimized VGe2P2 structure.

a = 6.8599 Å, b = 6.8599 Å, c = 3.4946 Å
α = 90.00°, β = 90.00°, γ = 90.00°
Closest atoms and distances in Å follow each position.
Fractional coordinates of all 10 atoms:
Ge: 0.3695 0.8695 0.0000  2 P 2.38, 1 Ge 2.53
P: 0.2964 0.2036 0.5000  2 Ge 2.38
P: 0.7036 0.7964 0.5000  2 Ge 2.38
P: 0.7964 0.2964 0.5000  2 Ge 2.38
P: 0.2036 0.7036 0.5000  2 Ge 2.38
Ge: 0.6305 0.1305 0.0000  2 P 2.38, 1 Ge 2.53
Ge: 0.1305 0.3695 0.0000  2 P 2.38, 1 Ge 2.53
V: 0.0000 0.0000 0.0000  4 Ge 2.69
V: 0.5000 0.5000 0.0000  4 Ge 2.69
Ge: 0.8695 0.6305 0.0000  2 P 2.38, 1 Ge 2.53

Results
The energy above the most stable polymorph in this dataset is 0.029 eV/atom. For the total energy, the calculation gives -54.75 eV for the cell shown.

---

Number 1: D(E_F) 0.6247 states/eV per atom. Number 2: D(E_F) 0.9676 states/eV per atom. Number 3: D(E_F) 1.0967 states/eV per atom. Number 4: D(E_F) 0.7731 states/eV per atom.